(1)
Here is SrLiCa2 after structural relaxation from the Alexandria database. Energies are from PBE.

Cell lengths 13.7704, 4.1672, 6.3139 Å; angles 90.00, 117.28, 90.00 degrees
Last column: nearest neighbours and their distance in Å.
Space group Cm (No. 8)
Symmetry-distinct sites (fractional):
1 Sr 0.0000 0.0000 0.0000 [2 per cell]  2 Li 3.52, 4 Ca 3.84
2 Li 0.2679 0.0000 0.7654 [2 per cell]  2 Ca 3.34, 2 Sr 3.52
3 Ca 0.0551 0.5000 0.5550 [2 per cell]  2 Li 3.34
4 Ca 0.2808 0.5000 0.2793 [2 per cell]  4 Li 3.78-3.79, 6 Ca 3.95-4.20, 4 Sr 4.02-4.15

N(E_F): 4.00 states/eV/f.u.
E: -1.85 eV/atom
Excess energy over the best structure of this formula in the dataset: 35.1 meV/atom
Formation energy: 52.6 meV/atom
Crystal system: monoclinic

---

(2)
Here is SrLi6Ca6 after structural relaxation from the Alexandria database. Energies are from PBE.

Cell lengths 6.5482, 11.5065, 11.5073 Å; angles 90.00, 90.00, 90.00 degrees
Last column: nearest neighbours and their distance in Å.
Space group Immm (No. 71)
Symmetry-distinct sites (fractional):
1 Sr 0.0000 0.0000 0.0000 [2 per cell]  8 Ca 3.89-3.97, 4 Li 4.23
2 Li 0.0000 0.5000 0.2668 [4 per cell]  4 Li 3.32, 6 Ca 3.41-3.55
3 Li 0.2500 0.2500 0.2500 [8 per cell]  4 Li 3.27-3.32, 6 Ca 3.40-3.49
4 Ca 0.0000 0.0000 0.3405 [4 per cell]  6 Li 3.47-3.50, 1 Ca 3.67
5 Ca 0.0000 0.3171 0.5000 [4 per cell]  6 Li 3.40-3.41, 2 Ca 3.77
6 Ca 0.0000 0.3448 0.0000 [4 per cell]  6 Li 3.49-3.55, 3 Ca 3.57-3.77

N(E_F): 10.34 states/eV/f.u.
E: -1.91 eV/atom
Formation energy: 29.7 meV/atom
Crystal system: orthorhombic

---

(3)
Here is SrLi8Ca3 after structural relaxation from the Alexandria database. Energies are from PBE.

Cell lengths 6.2625, 6.2625, 10.1188 Å; angles 90.00, 90.00, 120.00 degrees
Last column: nearest neighbours and their distance in Å.
Space group P3m1 (No. 156)
Symmetry-distinct sites (fractional):
1 Sr 0.0000 0.0000 0.0000 [1 per cell]  12 Li 3.68-3.70, 4 Ca 3.86-3.87
2 Li 0.1676 0.3351 0.6817 [3 per cell]  6 Li 3.08-3.15
3 Li 0.3333 0.6667 0.4346 [1 per cell]  6 Li 3.06-3.08
4 Li 0.3333 0.6667 0.9333 [1 per cell]  6 Li 3.12-3.18
5 Li 0.5013 0.0027 0.1913 [3 per cell]  6 Li 3.06-3.18
6 Ca 0.0000 0.0000 0.3822 [1 per cell]  12 Li 3.53-3.68, 3 Ca 3.80, 1 Sr 3.87
7 Ca 0.6667 0.3333 0.4971 [1 per cell]  12 Li 3.58-3.67, 4 Ca 3.73-3.80
8 Ca 0.6667 0.3333 0.8659 [1 per cell]  12 Li 3.64-3.75, 1 Ca 3.73, 3 Sr 3.86

N(E_F): 9.32 states/eV/f.u.
E: -1.92 eV/atom
Excess energy over the best structure of this formula in the dataset: 0.0 meV/atom
Formation energy: -4.4 meV/atom
Crystal system: trigonal

---

(4)
Here is Sr4LiCa4 after structural relaxation from the Alexandria database. Energies are from PBE.

Cell lengths 13.6650, 13.6650, 4.3728 Å; angles 90.00, 90.00, 90.00 degrees
Last column: nearest neighbours and their distance in Å.
Space group I4/m (No. 87)
Symmetry-distinct sites (fractional):
1 Sr 0.1568 0.1576 0.0000 [8 per cell]  2 Li 3.74, 4 Ca 3.98
2 Li 0.0000 0.0000 0.5000 [2 per cell]  8 Sr 3.74
3 Ca 0.0009 0.6569 0.5000 [8 per cell]  4 Ca 3.74, 4 Sr 3.98

N(E_F): 10.68 states/eV/f.u.
E: -1.82 eV/atom
Formation energy: 25.9 meV/atom
Crystal system: tetragonal

---

(5)
Here is SrLiCa2 after structural relaxation from the Alexandria database. Energies are from PBE.

Cell lengths 5.0173, 5.0173, 26.4565 Å; angles 90.00, 90.00, 90.00 degrees
Last column: nearest neighbours and their distance in Å.
Space group I-42d (No. 122)
Symmetry-distinct sites (fractional):
1 Sr 0.0000 0.0000 0.0000 [4 per cell]  4 Li 3.55, 4 Ca 3.77
2 Li 0.0000 0.0000 0.5000 [4 per cell]  4 Sr 3.55, 4 Ca 3.73
3 Ca 0.2372 0.2500 0.6250 [8 per cell]  4 Ca 3.46-3.64, 2 Li 3.73, 2 Sr 3.77

N(E_F): 4.88 states/eV/f.u.
E: -1.66 eV/atom
Excess energy over the best structure of this formula in the dataset: 219.6 meV/atom
Formation energy: 237.0 meV/atom
Crystal system: tetragonal

---

(6)
Here is SrLiCa2 after structural relaxation from the Alexandria database. Energies are from PBE.

Cell lengths 7.4396, 12.5739, 3.8120 Å; angles 90.00, 112.60, 90.00 degrees
Last column: nearest neighbours and their distance in Å.
Space group C2/m (No. 12)
Symmetry-distinct sites (fractional):
1 Sr 0.0000 0.0000 0.0000 [2 per cell]  2 Li 3.72, 4 Ca 3.77, 2 Sr 3.81
2 Li 0.0000 0.5000 0.0000 [2 per cell]  2 Sr 3.72, 4 Ca 3.77, 2 Li 3.81
3 Ca 0.2500 0.2500 0.5000 [4 per cell]  4 Ca 3.72-3.81, 2 Li 3.77, 2 Sr 3.77

N(E_F): 4.03 states/eV/f.u.
E: -1.80 eV/atom
Excess energy over the best structure of this formula in the dataset: 78.1 meV/atom
Formation energy: 95.6 meV/atom
Crystal system: monoclinic

---

(7)
Here is SrLiCa2 after structural relaxation from the Alexandria database. Energies are from PBE.

Cell lengths 3.9486, 3.9486, 36.4214 Å; angles 90.00, 90.00, 120.00 degrees
Last column: nearest neighbours and their distance in Å.
Space group R3m (No. 160, hexagonal axes)
Symmetry-distinct sites (fractional):
1 Sr 0.0000 0.0000 0.0000 [3 per cell]  3 Li 3.70, 6 Sr 3.95, 3 Ca 4.07
2 Li 0.0000 0.0000 0.2534 [3 per cell]  3 Ca 3.53, 3 Sr 3.70, 6 Li 3.95
3 Ca 0.0000 0.0000 0.5127 [3 per cell]  3 Li 3.53, 9 Ca 3.90-3.95
4 Ca 0.0000 0.0000 0.7591 [3 per cell]  9 Ca 3.90-3.95, 3 Sr 4.07

N(E_F): 4.64 states/eV/f.u.
E: -1.81 eV/atom
Excess energy over the best structure of this formula in the dataset: 69.6 meV/atom
Formation energy: 87.1 meV/atom
Crystal system: trigonal

---

(8)
Here is Sr3LiCa6 after structural relaxation from the Alexandria database. Energies are from PBE.

Cell lengths 12.4493, 12.4493, 12.4493 Å; angles 90.00, 90.00, 90.00 degrees
Last column: nearest neighbours and their distance in Å.
Space group Fm-3m (No. 225)
Symmetry-distinct sites (fractional):
1 Sr 0.0000 0.0000 0.0000 [4 per cell]  6 Ca 3.35
2 Sr 0.2500 0.2500 0.2500 [8 per cell]  12 Ca 4.41
3 Li 0.0000 0.0000 0.5000 [4 per cell]  6 Ca 2.87
4 Ca 0.0000 0.0000 0.2692 [24 per cell]  1 Li 2.87

N(E_F): 15.31 states/eV/f.u.
E: -1.56 eV/atom
Excess energy over the best structure of this formula in the dataset: 308.4 meV/atom
Formation energy: 339.3 meV/atom
Crystal system: cubic